Computed, not measured: a relaxed HfSnRh crystal at the PBEsol level of DFT.

Output
Density = 12179 kg/m3
Energy of formation = -767.6 meV/atom
N(E_F) = 1.06 states/eV/f.u.
Total moment = 0.000 μB per formula unit

Cell lengths 7.285, 7.285, 7.121 Å; angles 90.00, 90.00, 120.00 degrees
Element x y z (fractional)
Hf 0.019 0.406 0.250
Hf 0.388 0.981 0.250
Hf 0.406 0.019 0.750
Hf 0.594 0.612 0.250
Hf 0.612 0.594 0.750
Hf 0.981 0.388 0.750
Sn 0.000 0.729 0.000
Sn 0.000 0.729 0.500
Sn 0.271 0.271 0.000
Sn 0.271 0.271 0.500
Sn 0.729 0.000 0.000
Sn 0.729 0.000 0.500
Rh 0.000 0.000 0.250
Rh 0.000 0.000 0.750
Rh 0.333 0.667 0.537
Rh 0.333 0.667 0.963
Rh 0.667 0.333 0.037
Rh 0.667 0.333 0.463

---

Computed, not measured: a relaxed Hf3SnRh crystal at the PBEsol level of DFT.

Output
Density = 10677 kg/m3
Energy of formation = 34.1 meV/atom
N(E_F) = 4.57 states/eV/f.u.
Total moment = 0.000 μB per formula unit

Cell lengths 4.901, 4.901, 4.901 Å; angles 90.00, 90.00, 90.00 degrees
Element x y z (fractional)
Hf 0.000 0.000 0.500
Hf 0.000 0.500 0.000
Hf 0.500 0.000 0.000
Sn 0.500 0.500 0.500
Rh 0.000 0.000 0.000

---

Question: Which formula does entry 1 have?
Answer: HfSnRh

---

Question: Look up the energy of formation of the first one.
Answer: -767.6 meV/atom

---

Question: Among the records above, which one has the lowest energy of formation?
Answer: HfSnRh

---

Question: What is the formula in the first record?
Answer: HfSnRh